(1)
Here is a geometry-optimized NaNp2ScSe4 structure from Alexandria via LeMat-Bulk. Energies are from PBE-GGA.

a b c (Å): 4.064 6.979 7.103
angles (deg): 70.67 90.00 90.00
Site moments in Bohr magnetons follow the coordinates.
Fractional coordinates of all 8 atoms:
Np 0.000 0.000 0.000  -4.19
Np 0.500 0.000 0.500  -4.05
Sc 0.000 0.500 0.500  -0.17
Se 0.000 0.744 0.743  0.06
Se 0.500 0.738 0.261  0.05
Se 0.500 0.262 0.739  0.05
Se 0.000 0.256 0.257  0.06
Na 0.500 0.500 0.000  0.00

Calculated values
Space group ... P2/m (10)
Uncorrected formation energy ... -121.0 kJ/mol of atoms
VASP energy ... -7.1876 eV per atom
DOS(E_F) ... 19.728 states/eV/cell
Total magnetic moment ... 9.04 μB per cell

(2)
Here is a geometry-optimized Na3NpSc2Se6 structure from Alexandria via LeMat-Bulk. Energies are from PBE-GGA.

a b c (Å): 6.989 6.989 7.355
angles (deg): 99.15 99.15 120.03
Site moments in Bohr magnetons follow the coordinates.
Fractional coordinates of all 12 atoms:
Na 0.164 0.836 0.500  0.00
Na 0.500 0.500 0.500  0.00
Na 0.836 0.164 0.500  0.00
Se 0.578 0.926 0.777  0.03
Se 0.422 0.074 0.223  0.03
Se 0.074 0.422 0.223  0.03
Se 0.926 0.578 0.777  0.03
Se 0.273 0.273 0.777  0.03
Se 0.727 0.727 0.223  0.03
Np 0.000 0.000 0.000  -3.81
Sc 0.667 0.333 0.000  -0.09
Sc 0.333 0.667 0.000  -0.09

Calculated values
Space group ... C2/m (12)
Uncorrected formation energy ... -139.0 kJ/mol of atoms
VASP energy ... -5.6462 eV per atom
DOS(E_F) ... 8.774 states/eV/cell
Total magnetic moment ... 4.00 μB per cell

(3)
Here is a geometry-optimized Na3NpSc3Se8 structure from Alexandria via LeMat-Bulk. Energies are from PBE-GGA.

a b c (Å): 7.929 7.929 8.369
angles (deg): 118.29 90.00 120.00
Site moments in Bohr magnetons follow the coordinates.
Fractional coordinates of all 15 atoms:
Se 0.270 0.025 0.280  -0.06
Se 0.261 0.521 0.282  0.00
Se 0.739 0.479 0.718  0.00
Se 0.755 0.025 0.280  -0.06
Se 0.245 0.491 0.720  -0.06
Se 0.245 0.975 0.720  -0.06
Se 0.755 0.509 0.280  -0.06
Se 0.730 0.975 0.720  -0.06
Na 0.500 0.500 0.000  0.00
Na 0.000 0.500 0.000  0.00
Na 0.000 0.000 0.000  0.00
Sc 0.500 0.500 0.500  0.02
Sc 0.500 0.000 0.500  0.02
Sc 0.000 0.500 0.500  0.02
Np 0.000 0.000 0.500  3.32

Calculated values
Space group ... R-3m (166)
Uncorrected formation energy ... -141.4 kJ/mol of atoms
VASP energy ... -5.7168 eV per atom
DOS(E_F) ... 13.363 states/eV/cell
Total magnetic moment ... 3.00 μB per cell